Entry 1:
DFT (PBE-GGA) results for a relaxed CsMgAg2 crystal.

Cell lengths 3.6790, 3.6790, 8.3271 Å; angles 90.00, 90.00, 90.00 degrees
Space group P4/mmm (No. 123)
Symmetry-distinct sites (fractional):
Cs: 0.0000 0.0000 0.0000
Mg: 0.0000 0.0000 0.5000
Ag: 0.5000 0.5000 0.3323

Calculated values
Spin magnetization, μB per atom: 0.0000
Energy of formation, meV per atom: 57
Energy, eV/atom: -1.981
Density of states at the Fermi level, states/eV/cell: 1.9

=====

Entry 2:
DFT (PBE-GGA) results for a relaxed HfMg3Cl crystal.

Cell lengths 5.8975, 5.8975, 5.8975 Å; angles 90.00, 90.00, 90.00 degrees
Space group Pm-3m (No. 221)
Symmetry-distinct sites (fractional):
Hf: 0.0000 0.0000 0.0000
Mg: 0.0000 0.0000 0.5000
Cl: 0.5000 0.5000 0.5000

Calculated values
Spin magnetization, μB per atom: 0.2157
Formation energy without anion corrections, eV/atom: 0.964
Polymorph energy (0 for the lowest one), eV per atom: 0.628
Energy, eV/atom: -2.353
Density of states at the Fermi level, states/eV/cell: 9.0

=====

Entry 3:
DFT (PBE-GGA) results for a relaxed HfSb2TeSe crystal.

Cell lengths 5.5471, 5.5471, 5.3566 Å; angles 90.00, 90.00, 90.00 degrees
Space group P4/mmm (No. 123)
Symmetry-distinct sites (fractional):
Hf: 0.0000 0.0000 0.0000
Sb: 0.0000 0.5000 0.0000
Te: 0.0000 0.0000 0.5000
Se: 0.5000 0.5000 0.5000

Calculated values
Spin magnetization, μB per atom: 0.0000
Formation energy without anion corrections, eV/atom: 0.335
Polymorph energy (0 for the lowest one), eV per atom: 0.000
Energy, eV/atom: -4.630
Density of states at the Fermi level, states/eV/cell: 5.6

=====

Entry 4:
DFT (PBE-GGA) results for a relaxed LaSm2Zn2 crystal.

Cell lengths 5.3256, 15.6395, 6.4259 Å; angles 90.00, 90.00, 90.00 degrees
Space group Cmc2_1 (No. 36)
Symmetry-distinct sites (fractional):
La: 0.0000 0.0869 0.0000
Sm: 0.0000 0.2955 0.7740
Sm: 0.0000 0.4626 0.1334
Zn: 0.0000 0.1301 0.4971
Zn: 0.0000 0.2870 0.2849

Calculated values
Spin magnetization, μB per atom: 0.0000
Energy of formation, meV per atom: -187
Polymorph energy (0 for the lowest one), eV per atom: 0.055
Energy, eV/atom: -3.570
Density of states at the Fermi level, states/eV/cell: 19.2

=====

Entry 5:
DFT (PBE-GGA) results for a relaxed Ac2HfB2N6 crystal.

Cell lengths 5.5187, 5.5187, 16.1377 Å; angles 90.00, 90.00, 120.00 degrees
Space group R-3m (No. 166, hexagonal axes)
Symmetry-distinct sites (fractional):
Ac: 0.0000 0.0000 0.2293
Hf: 0.0000 0.0000 0.0000
B: 0.0000 0.0000 0.4180
N: 0.0282 0.5141 0.2534

Calculated values
Spin magnetization, μB per atom: 0.0840
Formation energy without anion corrections, eV/atom: -1.087
Energy, eV/atom: -8.494
Density of states at the Fermi level, states/eV/cell: 22.8

=====

Entry 6:
DFT (PBE-GGA) results for a relaxed Ac3Te2Ir crystal.

Cell lengths 9.4874, 13.2667, 27.2346 Å; angles 90.00, 90.00, 90.00 degrees
Space group Fddd (No. 70, origin choice 2)
Symmetry-distinct sites (fractional):
Ac: 0.0854 0.3750 0.3750
Ac: 0.1051 0.3605 0.2161
Te: 0.1250 0.1250 0.3804
Te: 0.1250 0.1250 0.5470
Ir: 0.1250 0.1250 0.0412

Calculated values
Spin magnetization, μB per atom: 0.0000
Formation energy without anion corrections, eV/atom: -1.255
Energy, eV/atom: -5.833
Density of states at the Fermi level, states/eV/cell: 53.6

=====

Entry 7:
DFT (PBE-GGA) results for a relaxed Tl6Br crystal.

Cell lengths 8.6476, 8.6476, 8.6476 Å; angles 90.00, 90.00, 90.00 degrees
Space group Im-3m (No. 229)
Symmetry-distinct sites (fractional):
Tl: 0.0000 0.2500 0.5000
Br: 0.0000 0.0000 0.0000

Calculated values
Spin magnetization, μB per atom: 0.0000
Formation energy without anion corrections, eV/atom: 0.253
Energy, eV/atom: -2.014
Density of states at the Fermi level, states/eV/cell: 17.8

=====

Entry 8:
DFT (PBE-GGA) results for a relaxed CaMgPt crystal.

Cell lengths 4.5250, 4.5250, 3.9082 Å; angles 90.00, 90.00, 120.00 degrees
Space group P-6m2 (No. 187)
Symmetry-distinct sites (fractional):
Ca: 0.0000 0.0000 0.0000
Mg: 0.6667 0.3333 0.5000
Pt: 0.3333 0.6667 0.5000

Calculated values
Spin magnetization, μB per atom: 0.0000
Energy of formation, meV per atom: -646
Energy, eV/atom: -3.858
Density of states at the Fermi level, states/eV/cell: 1.2

=====

spin magnetization of number 6 (Ac3Te2Ir)?
0.0000 μB per atom